(1)
Here is a relaxed structure of CsSnTeBr2 from Alexandria via LeMat-Bulk. Energies are from PBE.

POSCAR file:
```
CsSnTeBr2
1.0
5.865 0.000 0.000
0.000 5.865 0.000
0.000 0.000 5.785
Br Te Cs Sn
2 1 1 1
direct
0.500 0.000 0.000 Br
0.000 0.500 0.000 Br
0.000 0.000 0.500 Te
0.500 0.500 0.500 Cs
0.000 0.000 0.000 Sn
```

Summary:
For the raw formation energy, the calculation gives -0.846 eV/atom. Its space-group type is P4/mmm (123). The value obtained for the magnetization is 0.00 Bohr magnetons per cell.


(2)
Here is a relaxed structure of CsTiSnBr6 from Alexandria via LeMat-Bulk. Energies are from PBE.

POSCAR file:
```
CsTiSnBr6
1.0
7.387 0.001 0.000
3.695 6.396 0.000
0.000 0.001 7.918
Br Sn Ti Cs
6 1 1 1
direct
0.352 0.610 0.307 Br
0.352 0.038 0.693 Br
0.610 0.352 0.693 Br
0.038 0.352 0.307 Br
0.610 0.038 0.307 Br
0.038 0.610 0.693 Br
0.667 0.667 0.500 Sn
0.333 0.333 0.500 Ti
0.000 0.000 0.000 Cs
```

Summary:
For the raw formation energy, the calculation gives -1.195 eV/atom. Its space-group type is P312 (149). The value obtained for the magnetization is 1.00 Bohr magnetons per cell.


(3)
Here is a relaxed structure of CsTl2Sn2Br7 from Alexandria via LeMat-Bulk. Energies are from PBE.

POSCAR file:
```
CsTl2Sn2Br7
1.0
5.884 0.000 0.000
0.000 6.608 0.000
-2.942 -3.304 13.008
Br Sn Cs Tl
7 2 1 2
direct
0.407 0.823 0.815 Br
0.272 0.344 0.544 Br
0.728 0.799 0.456 Br
0.593 0.008 0.185 Br
0.111 0.573 0.222 Br
0.889 0.351 0.778 Br
0.500 0.418 0.000 Br
0.609 0.617 0.219 Sn
0.391 0.399 0.781 Sn
0.000 0.048 0.000 Cs
0.717 0.277 0.434 Tl
0.283 0.842 0.566 Tl
```

Summary:
For the raw formation energy, the calculation gives -0.970 eV/atom. Its space-group type is Imm2 (44). The value obtained for the magnetization is 0.00 Bohr magnetons per cell.


(4)
Here is a relaxed structure of Cs3Tl3SnBr8 from Alexandria via LeMat-Bulk. Energies are from PBE.

POSCAR file:
```
Cs3Tl3SnBr8
1.0
-4.917 4.684 -7.472
-5.141 -3.858 7.787
5.741 7.753 1.082
Br Sn Cs Tl
8 1 3 3
direct
0.795 0.013 0.731 Br
0.205 0.987 0.269 Br
0.218 0.013 0.731 Br
0.782 0.987 0.269 Br
0.242 0.484 0.226 Br
0.758 0.516 0.774 Br
0.218 0.436 0.731 Br
0.782 0.564 0.269 Br
0.000 0.000 0.500 Sn
0.000 0.500 0.500 Cs
0.500 0.500 0.500 Cs
0.500 0.000 0.500 Cs
0.500 0.500 0.000 Tl
0.000 0.000 0.000 Tl
0.000 0.500 0.000 Tl
```

Summary:
For the raw formation energy, the calculation gives -1.218 eV/atom. Its space-group type is R-3m (166). The value obtained for the magnetization is 0.00 Bohr magnetons per cell.